VASP calculation (PBE) on crystalline Tm4TeSe3 at its relaxed geometry.

Total energy ... -5.50 eV per atom
ρ ... 8.952 Mg/m³

a = 4.032 Å, b = 4.032 Å, c = 27.415 Å
α = 90.00°, β = 90.00°, γ = 120.00°
Positions (direct):
Tm1 0.000 0.000 0.177
Tm2 0.000 0.000 0.323
Tm3 0.000 0.000 0.677
Tm4 0.000 0.000 0.823
Tm5 0.333 0.667 0.063
Tm6 0.333 0.667 0.437
Tm7 0.667 0.333 0.563
Tm8 0.667 0.333 0.937
Te1 0.333 0.667 0.250
Te2 0.667 0.333 0.750
Se1 0.000 0.000 0.000
Se2 0.000 0.000 0.500
Se3 0.333 0.667 0.620
Se4 0.333 0.667 0.880
Se5 0.667 0.333 0.120
Se6 0.667 0.333 0.380